# 1
As | PBE | optimized geometry

Cell: 3.251 3.251 3.251 Å, 129.77 129.77 73.78°
Sites, in units of the cell vectors:
As (0.000, 0.000, 0.000)

Calculated values
mass density	6.3	Mg/m³
final energy	-4.17	eV per cell
DOS at the Fermi energy	0.54	states/eV per atom


# 2
As | PBE | optimized geometry

Cell: 4.048 4.048 4.048 Å, 96.96 96.96 139.26°
Sites, in units of the cell vectors:
As (0.125, 0.875, 0.750)
As (0.875, 0.125, 0.250)

Calculated values
mass density	6.1	Mg/m³
final energy	-8.86	eV per cell
DOS at the Fermi energy	0.43	states/eV per atom


# 3
As | PBE | optimized geometry

Cell: 4.522 4.522 5.344 Å, 90.00 90.00 120.00°
Sites, in units of the cell vectors:
As (0.000, 0.000, 0.250)
As (0.000, 0.000, 0.750)
As (0.333, 0.667, 0.250)
As (0.667, 0.333, 0.750)

Calculated values
mass density	5.3	Mg/m³
final energy	-16.91	eV per cell
DOS at the Fermi energy	0.52	states/eV per atom


# 4
As | PBE | optimized geometry

Cell: 11.286 11.286 4.733 Å, 90.00 90.00 90.00°
Sites, in units of the cell vectors:
As (0.804, 0.646, 0.500)
As (0.354, 0.804, 0.500)
As (0.896, 0.607, 0.000)
As (0.618, 0.874, 0.000)
As (0.570, 0.780, 0.500)
As (0.430, 0.220, 0.500)
As (0.126, 0.618, 0.000)
As (0.104, 0.393, 0.000)
As (0.607, 0.104, 0.000)
As (0.220, 0.570, 0.500)
As (0.382, 0.126, 0.000)
As (0.196, 0.354, 0.500)
As (0.874, 0.382, 0.000)
As (0.393, 0.896, 0.000)
As (0.780, 0.430, 0.500)
As (0.646, 0.196, 0.500)

Calculated values
mass density	3.3	Mg/m³
final energy	-70.01	eV per cell
DOS at the Fermi energy	0.15	states/eV per atom


# 5
As | PBE | optimized geometry

Cell: 11.221 11.221 3.689 Å, 90.00 90.00 90.00°
Sites, in units of the cell vectors:
As (0.524, 0.244, 0.000)
As (0.619, 0.789, 0.500)
As (0.881, 0.711, 0.000)
As (0.244, 0.476, 0.000)
As (0.119, 0.289, 0.000)
As (0.381, 0.211, 0.500)
As (0.756, 0.524, 0.000)
As (0.744, 0.976, 0.500)
As (0.976, 0.256, 0.500)
As (0.256, 0.024, 0.500)
As (0.289, 0.881, 0.000)
As (0.789, 0.381, 0.500)
As (0.024, 0.744, 0.500)
As (0.711, 0.119, 0.000)
As (0.476, 0.756, 0.000)
As (0.211, 0.619, 0.500)

Calculated values
mass density	4.3	Mg/m³
final energy	-71.78	eV per cell
DOS at the Fermi energy	0.04	states/eV per atom


# 6
As | PBE | optimized geometry

Cell: 2.763 2.763 11.478 Å, 90.00 90.00 89.96°
Sites, in units of the cell vectors:
As (0.000, 0.000, 0.892)
As (0.500, 0.500, 0.608)
As (0.000, 0.000, 0.108)
As (0.500, 0.500, 0.392)

Calculated values
mass density	5.7	Mg/m³
final energy	-18.11	eV per cell
DOS at the Fermi energy	0.40	states/eV per atom


# 7
As | PBE | optimized geometry

Cell: 3.804 4.195 16.694 Å, 90.00 90.00 90.00°
Sites, in units of the cell vectors:
As (0.000, 0.816, 0.340)
As (0.000, 0.689, 0.000)
As (0.500, 0.211, 0.661)
As (0.500, 0.184, 0.840)
As (0.500, 0.283, 0.000)
As (0.500, 0.184, 0.160)
As (0.000, 0.789, 0.839)
As (0.000, 0.816, 0.660)
As (0.000, 0.717, 0.500)
As (0.000, 0.789, 0.161)
As (0.500, 0.311, 0.500)
As (0.500, 0.211, 0.339)

Calculated values
mass density	5.6	Mg/m³
final energy	-55.18	eV per cell
DOS at the Fermi energy	0.12	states/eV per atom


# 8
As | PBE | optimized geometry

Cell: 5.882 5.884 11.209 Å, 90.00 90.00 90.00°
Sites, in units of the cell vectors:
As (0.872, 0.948, 0.023)
As (0.182, 0.576, 0.693)
As (0.225, 0.165, 0.760)
As (0.628, 0.052, 0.523)
As (0.725, 0.335, 0.240)
As (0.318, 0.424, 0.193)
As (0.702, 0.456, 0.456)
As (0.682, 0.924, 0.307)
As (0.775, 0.665, 0.740)
As (0.202, 0.044, 0.544)
As (0.798, 0.544, 0.956)
As (0.275, 0.835, 0.260)
As (0.298, 0.956, 0.044)
As (0.128, 0.448, 0.477)
As (0.818, 0.076, 0.807)
As (0.372, 0.552, 0.977)

Calculated values
mass density	5.1	Mg/m³
final energy	-73.37	eV per cell